Entry from Alexandria: MgRePt2 after structural relaxation (PBE).

Values from the calculation:
space-group type	Pmmm (47)
size of the total moment	0.00	μB/f.u.
formation energy from the elements	-0.27	eV/atom

```
4
Lattice="-0.382 2.769 2.866 -2.453 -1.084 0.721 0.100 -4.469 4.330" Properties=species:S:1:pos:R:3 pbc="T T T"
Mg -1.955 -2.780 5.221
Pt -2.431 -1.113 0.751
Pt -1.198 -2.748 2.495
Re -0.779 -0.004 2.696
```